[1]
Entry from the Alexandria database: crystalline Tb2V2O7 at its relaxed geometry (PBE with a Hubbard U).

Cell and atoms, written as CIF:
```
data_Tb2V2O7
_chemical_formula_sum 'Tb2 V2 O7'
_space_group_name_H-M_alt 'P 1'
_space_group_IT_number 1
_space_group_name_Hall 'P 1'
_cell_length_a 5.0363
_cell_length_b 5.1337
_cell_length_c 5.0363
_cell_angle_alpha 90.00
_cell_angle_beta 95.03
_cell_angle_gamma 90.00
loop_
_atom_site_label
_atom_site_fract_x
_atom_site_fract_y
_atom_site_fract_z
O1 0.5000 0.2245 0.5000
O2 0.5000 0.7634 0.0000
O3 0.5000 0.7755 0.5000
O4 0.0000 0.2366 0.5000
O5 0.5000 0.2366 0.0000
O6 0.0000 0.7634 0.5000
O7 0.0000 0.0000 0.0000
V1 0.2713 0.0000 0.7287
V2 0.7287 0.0000 0.2713
Tb1 0.7469 0.5000 0.7469
Tb2 0.2531 0.5000 0.2531
```

Properties
E_tot in eV per formula unit: -85.72
Calculated density in g/cm³: 6.81

[2]
Entry from the Alexandria database: crystalline Tb2WO6 at its relaxed geometry (PBE with a Hubbard U).

Cell and atoms, written as CIF:
```
data_Tb2WO6
_chemical_formula_sum 'Tb4 W2 O12'
_space_group_name_H-M_alt 'P 1'
_space_group_IT_number 1
_space_group_name_Hall 'P 1'
_cell_length_a 5.5172
_cell_length_b 5.7108
_cell_length_c 8.3180
_cell_angle_alpha 90.00
_cell_angle_beta 95.65
_cell_angle_gamma 90.00
loop_
_atom_site_label
_atom_site_fract_x
_atom_site_fract_y
_atom_site_fract_z
O1 0.3559 0.7599 0.1145
O2 0.8559 0.7401 0.6145
O3 0.3288 0.6091 0.7995
O4 0.6712 0.3909 0.2005
O5 0.1441 0.2599 0.3855
O6 0.7167 0.1811 0.5473
O7 0.8288 0.8909 0.2995
O8 0.7833 0.6811 0.9527
O9 0.1712 0.1091 0.7005
O10 0.6441 0.2401 0.8855
O11 0.2167 0.3189 0.0473
O12 0.2833 0.8189 0.4527
Tb1 0.5396 0.9287 0.7293
Tb2 0.4604 0.0713 0.2707
Tb3 0.0396 0.5713 0.2293
Tb4 0.9604 0.4287 0.7707
W1 0.0000 0.0000 0.5000
W2 0.5000 0.5000 0.0000
```

Properties
E_tot in eV per formula unit: -72.49
Calculated density in g/cm³: 7.61